No. 1
This record from Alexandria via LeMat-Bulk describes ZnRe3 after structural relaxation. The functional is PBE.

Values from the calculation:
symmetry: No. 139
Fermi-level density of states: 0.588 states/eV per atom
size of the total moment: 0.00 Bohr magnetons per cell
total energy: -9.3534 eV/atom

Unit cell a=4.7848 b=3.8753 c=3.8753 alpha=90.00 beta=66.11 gamma=113.89
Fractional positions:
Re  0.0000  0.0000  0.0000
Re  0.0000  0.5000  0.5000
Re  0.5000  0.2500  0.2500
Zn  0.5000  0.7500  0.7500


No. 2
This record from Alexandria via LeMat-Bulk describes Zn3OsCl after structural relaxation. The functional is PBE.

Values from the calculation:
symmetry: No. 221
Fermi-level density of states: 0.297 states/eV per atom
size of the total moment: 0.93 Bohr magnetons per cell
uncorrected formation energy: 1338 meV per atom

Unit cell a=4.5398 b=4.5398 c=4.5398 alpha=90.00 beta=90.00 gamma=90.00
Fractional positions:
Zn  0.0000  0.5000  0.0000
Zn  0.0000  0.0000  0.5000
Zn  0.5000  0.0000  0.0000
Os  0.5000  0.5000  0.5000
Cl  0.0000  0.0000  0.0000


No. 3
This record from Alexandria via LeMat-Bulk describes Ba6Na5Pt after structural relaxation. The functional is PBE.

Values from the calculation:
symmetry: No. 12
Fermi-level density of states: 0.856 states/eV per atom
size of the total moment: 0.00 Bohr magnetons per cell
total energy: -2.1530 eV/atom

Unit cell a=8.0284 b=12.0996 c=8.9547 alpha=117.27 beta=96.93 gamma=119.01
Fractional positions:
Na  0.2379  0.7379  0.4758
Na  0.6152  0.6152  0.2305
Na  0.0000  0.5000  0.0000
Na  0.3848  0.3848  0.7695
Na  0.7621  0.2621  0.5242
Ba  0.1429  0.3343  0.3045
Ba  0.1616  0.9701  0.3045
Ba  0.4549  0.1674  0.0000
Ba  0.5451  0.8326  0.0000
Ba  0.8384  0.0299  0.6955
Ba  0.8571  0.6657  0.6955
Pt  0.0000  0.0000  0.0000


Question: The lowest Fermi-level density of states belongs to which entry?
Answer: Zn3OsCl


Question: The highest Fermi-level density of states belongs to which entry?
Answer: Ba6Na5Pt


Question: The highest Fermi-level density of states belongs to which entry?
Answer: Ba6Na5Pt